KAl11O17 | PBE-GGA | optimized geometry

Structure (extended XYZ):
```
58
Lattice="5.651 0.000 0.000 -2.826 4.894 0.000 0.000 0.000 22.960" Properties=species:S:1:pos:R:3 pbc="T T T"
K 0.000 3.263 5.740
K 2.826 1.631 17.220
Al 0.000 0.000 0.000
Al 0.000 0.000 11.480
Al 0.000 1.639 2.433
Al 0.000 1.639 9.047
Al -1.406 4.075 2.433
Al -1.406 4.075 9.047
Al 0.000 3.263 12.047
Al 0.000 3.263 15.505
Al 0.000 3.263 18.935
Al 0.000 3.263 22.392
Al 1.419 0.819 13.913
Al 1.419 0.819 20.527
Al 1.406 4.075 2.433
Al 1.406 4.075 9.047
Al 2.826 1.631 0.567
Al 2.826 1.631 4.025
Al 2.826 1.631 7.455
Al 2.826 1.631 10.912
Al 4.232 0.819 13.913
Al 4.232 0.819 20.527
Al 2.826 3.255 13.913
Al 2.826 3.255 20.527
O 0.000 0.000 3.224
O 0.000 0.000 8.256
O 0.000 0.000 14.704
O 0.000 0.000 19.735
O -1.393 2.458 3.324
O -1.393 2.458 8.156
O 0.000 1.538 12.613
O 0.000 1.538 21.827
O -1.494 4.125 12.613
O -1.494 4.125 21.827
O 1.332 0.769 1.133
O 1.332 0.769 10.347
O 0.000 3.263 1.266
O 0.000 3.263 10.214
O 0.000 3.263 17.220
O 1.393 2.458 3.324
O 1.393 2.458 8.156
O 0.000 4.871 3.324
O 0.000 4.871 8.156
O 2.826 0.023 14.803
O 2.826 0.023 19.636
O 1.432 2.436 14.803
O 1.432 2.436 19.636
O 2.826 1.631 5.740
O 2.826 1.631 12.746
O 2.826 1.631 21.694
O 1.494 4.125 12.613
O 1.494 4.125 21.827
O 4.319 0.769 1.133
O 4.319 0.769 10.347
O 2.826 3.356 1.133
O 2.826 3.356 10.347
O 4.219 2.436 14.803
O 4.219 2.436 19.636
```

space-group type: P6_3/mmc, No. 194
V: 635 Å³/cell
M_tot: 0.0 μB per formula unit
energy above the lowest structure with this stoichiometry: 0 meV/atom
D(E_F): 0.00 states/eV/f.u.


KAl4O7 | PBE-GGA | optimized geometry

Structure (extended XYZ):
```
24
Lattice="13.253 0.000 0.000 0.000 5.396 0.000 0.000 0.000 5.060" Properties=species:S:1:pos:R:3 pbc="T T T"
K 0.000 0.933 0.000
K 6.627 4.463 2.530
Al 1.612 3.668 2.174
Al 3.306 4.489 4.678
Al 3.320 0.907 2.148
Al 5.015 1.728 4.704
Al 8.238 1.728 4.704
Al 9.933 0.907 2.148
Al 9.947 4.489 4.678
Al 11.642 3.668 2.174
O 0.000 4.124 1.675
O 1.830 4.013 3.878
O 1.981 1.988 1.896
O 2.841 4.748 1.344
O 3.786 0.648 3.873
O 4.645 3.409 4.426
O 4.797 1.384 1.348
O 6.627 1.273 4.205
O 8.457 1.384 1.348
O 8.608 3.409 4.426
O 9.468 0.648 3.873
O 10.413 4.748 1.344
O 11.272 1.988 1.896
O 11.424 4.013 3.878
```

space-group type: Pmn2_1, No. 31
V: 362 Å³/cell
E_tot: -6.87 eV/atom
M_tot: 1.0 μB per formula unit
D(E_F): 5.03 states/eV/f.u.


K5Al2O6 | PBE-GGA | optimized geometry

Structure (extended XYZ):
```
26
Lattice="5.340 -3.345 0.000 5.340 3.345 0.000 -2.378 0.000 13.974" Properties=species:S:1:pos:R:3 pbc="T T T"
K 3.556 2.674 10.481
K 4.665 1.764 0.061
K 3.034 0.388 4.046
K 4.826 1.764 6.926
K 1.845 -0.388 11.033
K 6.457 0.388 2.941
K 3.476 -1.764 7.048
K 5.267 -0.388 9.928
K 3.636 -1.764 13.913
K 4.745 -2.674 3.494
Al 1.556 0.939 8.028
Al 2.746 -0.939 1.041
Al 5.556 0.939 12.934
Al 6.745 -0.939 5.946
O 0.161 0.399 8.955
O 1.407 0.588 6.245
O 1.351 -0.399 1.967
O 0.218 -0.588 13.232
O 3.074 0.421 8.731
O 4.263 -0.421 1.744
O 4.038 0.421 12.231
O 5.228 -0.421 5.244
O 8.084 0.588 0.742
O 6.951 0.399 12.007
O 6.895 -0.588 7.729
O 8.140 -0.399 5.020
```

space-group type: C2/c, No. 15
V: 499 Å³/cell
E_tot: -5.24 eV/atom
M_tot: 1.1 μB per formula unit
D(E_F): 8.80 states/eV/f.u.


Which of these has the lowest D(E_F)?
KAl11O17